The following is a DFT calculation (PBE) of VCrC2 after structural relaxation.

Summary:
ΔH_f (0 K)   7.663 kcal/mol of atoms
Calculated total energy   -8.965 eV/atom
Symmetry   No. 122

Cell lengths 5.4831, 5.4831, 5.4831 Å; angles 131.89, 131.89, 70.41 degrees
Fractional coordinates of all 8 atoms:
V 0.0000 0.0000 0.0000
V 0.7500 0.2500 0.5000
Cr 0.2500 0.7500 0.5000
Cr 0.5000 0.5000 0.0000
C 0.1329 0.6250 0.0079
C 0.3750 0.3829 0.5079
C 0.6171 0.1250 0.9921
C 0.8750 0.8671 0.4921

=====

The following is a DFT calculation (PBE) of Dy2ThSe4 after structural relaxation.

Summary:
Calculated total energy   -6.157 eV/atom
Symmetry   No. 74
Raw formation energy   -1.791 eV per atom

Cell lengths 8.1897, 8.1897, 8.1897 Å; angles 119.90, 119.05, 90.91 degrees
Fractional coordinates of all 14 atoms:
Dy 0.0000 0.0000 0.0000
Dy 0.5000 0.0000 0.0000
Dy 0.5000 0.0000 0.5000
Dy 0.5000 0.5000 0.5000
Th 0.0000 0.5000 0.5000
Th 0.5000 0.5000 0.0000
Se 0.2444 0.2373 0.4928
Se 0.2444 0.7516 0.0072
Se 0.2526 0.2476 0.0049
Se 0.2573 0.7524 0.5049
Se 0.7427 0.2476 0.4951
Se 0.7474 0.7524 0.9951
Se 0.7556 0.2484 0.9928
Se 0.7556 0.7627 0.5072

=====

The following is a DFT calculation (PBE) of VSeSN2 after structural relaxation.

Summary:
Calculated total energy   -5.101 eV/atom
Symmetry   No. 123
Raw formation energy   1.575 eV per atom

Cell lengths 3.7576, 3.7576, 4.7375 Å; angles 90.00, 90.00, 90.00 degrees
Fractional coordinates of all 5 atoms:
V 0.0000 0.0000 0.0000
Se 0.5000 0.5000 0.5000
S 0.5000 0.5000 0.0000
N 0.0000 0.5000 0.5000
N 0.5000 0.0000 0.5000